# 1
RbAcPr2 | the Alexandria database | PBE | relaxed; ΔH_f (0 K) = 1.0 eV per formula unit; volume = 179.1 Å³/f.u.
1.0
3.8389 0.0000 0.0000
1.9195 3.3246 0.0000
1.9195 1.1082 14.0330
Ac Rb Pr
1 1 2
Cartesian
3.8389 2.2164 7.0165
0.0000 0.0000 0.0000
5.7584 3.3246 3.9603
1.9195 1.1082 10.0727



# 2
Rb4Ac3PrS8 | the Alexandria database | PBE | relaxed; VASP energy = -5.233 eV per atom; volume = 521.9 Å³/f.u.
1.0
8.8277 0.0000 0.0000
0.0000 9.2585 0.2943
-4.4139 -4.4083 6.2457
S Ac Pr Rb
8 3 1 4
Cartesian
0.0000 4.4646 3.0714
0.0000 0.3989 3.3988
6.6760 2.6449 0.2666
2.2621 2.2052 6.2733
4.4139 4.4513 3.1412
-2.2621 2.2052 6.2733
4.4139 0.3855 3.4685
2.1518 2.6449 0.2666
2.2069 2.4251 3.2700
4.4139 4.6292 0.1472
-2.2069 2.4251 3.2700
0.0000 4.6292 0.1472
2.2069 -2.2042 3.1228
0.0000 0.0000 0.0000
-2.2069 -2.2042 3.1228
4.4139 0.0000 0.0000



# 3
Rb2AcPrS4 | the Alexandria database | PBE | relaxed; VASP energy = -5.259 eV per atom; volume = 254.9 Å³/f.u.
1.0
-0.6164 3.3247 -2.7559
2.3761 -4.3131 -5.7347
-8.0465 -0.9300 0.6778
Pr S Rb Ac
1 4 2 1
Cartesian
0.8798 -0.4942 -4.2453
-5.7927 -1.9311 -1.0340
0.1223 -3.3121 -4.0229
-1.3576 0.4270 -2.6336
-4.9292 -2.3454 -5.1792
-4.3315 1.1974 -1.0391
-2.8352 -2.6216 -2.5285
0.0000 0.0000 0.0000



# 4
Rb3AcPr2S6 | the Alexandria database | PBE | relaxed; VASP energy = -5.279 eV per atom; volume = 376.3 Å³/f.u.
1.0
-4.1862 -3.1741 -5.3490
-2.2142 -0.2859 7.1572
-1.7166 7.7919 -1.5288
Rb S Ac Pr
3 6 1 2
Cartesian
-4.0585 2.1659 0.1397
-4.7161 1.2027 -4.0311
-3.4009 3.1291 4.3105
-3.1399 5.2798 -0.7242
-2.2030 0.2381 -2.0172
-1.5275 1.2275 2.2670
-4.9771 -0.9480 1.0037
-6.5895 3.1044 -1.9875
-5.9140 4.0938 2.2967
0.0000 0.0000 0.0000
-2.8714 -1.2485 2.9890
-3.5289 -2.2115 -1.1808



# 5
Rb3Ac2PrS6 | the Alexandria database | PBE | relaxed; VASP energy = -5.242 eV per atom; volume = 388.6 Å³/f.u.
1.0
4.3965 0.0000 0.0000
0.0000 9.2551 0.0159
-2.1983 -2.9917 9.5443
S Ac Rb Pr
6 2 3 1
Cartesian
2.1983 4.1079 3.3803
2.1983 0.0422 2.9036
2.1983 4.3294 9.3997
0.0000 6.2212 6.6567
0.0000 1.9341 0.1605
0.0000 2.1555 6.1800
0.0000 2.0674 3.1570
2.1983 4.1960 6.4032
2.1983 -0.4573 6.3728
2.1983 4.6275 0.0080
0.0000 6.7207 3.1875
2.1983 0.0000 0.0000



# 6
RbAc4PrSe8 | the Alexandria database | PBE | relaxed; VASP energy = -5.410 eV per atom; volume = 555.6 Å³/f.u.
1.0
-1.7444 -8.1728 -4.0904
5.6858 -7.2248 1.4288
-2.7621 -7.1853 4.9526
Pr Se Ac Rb
1 8 4 1
Cartesian
-2.7037 -7.1559 4.8689
2.3027 -13.5498 -0.7729
3.2423 -9.1475 1.4304
-2.1571 -13.5341 0.7361
-0.7600 -9.6581 -1.5425
2.0991 -12.9911 3.8976
-1.1579 -8.8525 3.0792
0.1098 -5.7389 0.8379
0.9854 -16.8864 1.5736
1.3935 -7.1825 3.1747
2.1001 -10.5308 -1.0186
-2.2229 -7.6438 0.4884
-1.3739 -3.6660 2.4793
-0.8953 -12.0393 3.2730



# 7
Rb4Ac3PrSe8 | the Alexandria database | PBE | relaxed; VASP energy = -4.837 eV per atom; volume = 580.2 Å³/f.u.
1.0
9.1267 0.0000 0.0000
0.0000 9.6112 0.3324
-4.5634 -4.5591 6.4568
Se Pr Ac Rb
8 1 3 4
Cartesian
0.0000 4.6695 3.2157
4.5634 0.3826 3.5735
-2.3386 2.3330 6.5243
6.9019 2.7191 0.2649
2.2248 2.7191 0.2649
2.3386 2.3330 6.5243
0.0000 0.3934 3.5009
4.5634 4.6588 3.2883
0.0000 4.8056 0.1662
-2.2817 2.5261 3.3946
4.5634 4.8056 0.1662
2.2817 2.5261 3.3946
4.5634 0.0000 0.0000
0.0000 0.0000 0.0000
2.2817 -2.2796 3.2284
-2.2817 -2.2796 3.2284



# 8
Rb3AcPr2Te6 | the Alexandria database | PBE | relaxed; VASP energy = -4.389 eV per atom; volume = 502.9 Å³/f.u.
1.0
8.2238 -0.0016 -0.0002
-4.1113 7.1224 -0.0002
-1.3717 -2.3751 8.5866
Rb Pr Te Ac
3 2 6 1
Cartesian
5.5029 -0.0138 4.2931
-2.7620 4.7595 4.2931
1.3704 2.3729 4.2931
-0.0022 4.7493 -0.0002
4.1148 2.3716 -0.0002
-1.4077 2.4394 1.7891
0.0372 0.0644 6.8003
2.8164 -0.0002 1.7891
-0.0756 4.7460 6.7970
4.1486 2.3064 6.7970
2.7037 4.6814 1.7859
0.0000 0.0000 0.0000



# 9
Rb3Ac2PrTe6 | the Alexandria database | PBE | relaxed; VASP energy = -4.360 eV per atom; volume = 517.3 Å³/f.u.
1.0
-2.1501 -2.2193 7.7436
-1.4135 -5.1908 -6.3694
8.9454 -1.0467 0.6872
Te Ac Rb Pr
6 2 3 1
Cartesian
6.1570 -2.7066 0.8912
0.9342 -1.4586 2.7517
-0.7753 -5.7502 1.1702
4.4475 -6.9982 -0.6903
1.1730 -2.4221 -1.8247
4.2087 -6.0347 3.8861
-1.6592 -4.1997 -1.6621
-1.9044 -3.2104 3.0362
2.9353 -5.2144 -3.6523
2.4464 -3.2424 5.7137
2.6909 -4.2284 1.0307
0.0000 0.0000 0.0000



# 10
Rb2AcPrTe4 | the Alexandria database | PBE | relaxed; VASP energy = -4.373 eV per atom; volume = 340.2 Å³/f.u.
1.0
-0.4781 -4.2842 2.0635
8.2063 -0.4040 1.0627
-3.5340 3.9186 7.3169
Pr Te Rb Ac
1 4 2 1
Cartesian
0.0000 0.0000 0.0000
5.3732 0.5271 2.3394
0.8951 -1.4224 2.7888
-0.7008 2.9876 6.0403
3.2991 0.6528 7.6544
-2.0061 -0.1828 4.6902
2.3362 1.7573 4.1898
3.8641 -2.3441 1.5631



# 11
AcPr4Rh3 | the Alexandria database | PBE | relaxed; ΔH_f (0 K) = -4.2 eV per formula unit; volume = 249.2 Å³/f.u.
1.0
-2.5643 -6.4281 2.3003
3.4043 0.2433 -7.0861
7.4328 -0.2488 7.5904
Pr Ac Rh
8 2 6
Cartesian
6.6156 -0.3288 -1.2710
4.6755 -3.5302 3.1230
7.8860 -0.9292 2.4306
6.9393 -1.9978 6.2993
0.1196 -5.5103 0.0809
1.5784 -5.9960 3.9794
3.3348 -2.8975 -0.6157
1.1853 -4.5008 -3.5288
4.3186 -1.8564 -4.5093
7.1176 -4.2805 0.1089
2.3407 -4.4766 1.6336
5.5999 -1.9133 0.9217
6.0511 -4.6159 5.4342
6.3915 -5.8328 2.5161
2.7039 -5.6362 -1.3049
1.8892 -1.7745 -2.8786



# 12
Ac2PrRh | the Alexandria database | PBE | relaxed; ΔH_f (0 K) = -1.2 eV per formula unit; distance to the lowest polymorph of the same formula = 0.38 eV per formula unit; volume = 146.5 Å³/f.u.
1.0
-2.9952 2.6837 -1.0493
-3.6350 -1.4038 -1.4459
-5.7135 0.0887 8.3040
Ac Pr Rh
2 1 1
Cartesian
-5.0928 0.1485 6.6856
-2.8270 0.3671 0.7770
-6.1706 0.6844 2.9013
-4.4250 0.8527 -1.6507